Li2NiP4O12 | PBE+U | relaxed

Unit cell a=9.1263 b=9.3099 c=7.1754 alpha=90.00 beta=129.25 gamma=90.00
Space group C2 (No. 5)
Symmetry-distinct sites (fractional):
Li 0.0000 0.0000 0.0000 [2 per cell]
Li 0.0000 0.3047 0.0000 [2 per cell]
Ni 0.0000 0.4689 0.5000 [2 per cell]
P 0.1714 0.7043 0.3629 [4 per cell]
P 0.2056 0.6050 0.0057 [4 per cell]
O 0.0545 0.7358 0.8593 [4 per cell]
O 0.1073 0.1478 0.9226 [4 per cell]
O 0.1163 0.4665 0.8659 [4 per cell]
O 0.1873 0.6322 0.5611 [4 per cell]
O 0.2227 0.5876 0.2428 [4 per cell]
O 0.2288 0.3422 0.5964 [4 per cell]

## Properties
Total energy   -6.675 eV/atom
Calculated volume   12.4 Å³ per atom
DOS at the Fermi energy   0.000 states/eV/cell
Crystal system   monoclinic